{"formula": "RbNbAg2I", "functional": "PBEsol", "state": "relaxed", "lattice": [[5.326, 0.000, 0.000], [0.000, 5.328, 0.000], [0.000, 0.000, 5.328]], "species": ["I", "Nb", "Rb", "Ag", "Ag"], "frac_coords": [[0.500, 0.000, 0.000], [0.000, 0.000, 0.000], [0.500, 0.500, 0.500], [0.000, 0.000, 0.500], [0.000, 0.500, 0.000]], "dos_ef_per_ev_atom": 0.716, "volume_a3_per_atom": 30.23, "magnetic_moment_mub_per_fu": 0.0, "space_group": "P4/mmm (123)", "e_form_raw_mev_per_atom": 484}


{"formula": "Ni2AgI", "functional": "PBEsol", "state": "relaxed", "lattice": [[4.414, 0.000, 0.000], [2.207, 3.823, 0.000], [2.207, 1.274, 3.604]], "species": ["I", "Ni", "Ni", "Ag"], "frac_coords": [[0.500, 0.500, 0.500], [0.250, 0.250, 0.250], [0.750, 0.750, 0.750], [0.000, 0.000, 0.000]], "dos_ef_per_ev_atom": 0.883, "volume_a3_per_atom": 15.21, "magnetic_moment_mub_per_fu": 0.0, "space_group": "Fm-3m (225)", "e_form_raw_mev_per_atom": 531}


{"formula": "Ag5IO6", "functional": "PBEsol", "state": "relaxed", "lattice": [[5.828, 0.000, 0.000], [2.914, 5.048, 0.000], [2.914, 1.683, 10.853]], "species": ["I", "I", "O", "O", "O", "O", "O", "O", "O", "O", "O", "O", "O", "O", "Ag", "Ag", "Ag", "Ag", "Ag", "Ag", "Ag", "Ag", "Ag", "Ag"], "frac_coords": [[0.500, 0.500, 0.500], [0.000, 0.000, 0.000], [0.204, 0.669, 0.101], [0.796, 0.331, 0.899], [0.474, 0.831, 0.399], [0.974, 0.796, 0.899], [0.704, 0.526, 0.601], [0.526, 0.169, 0.601], [0.169, 0.704, 0.601], [0.331, 0.974, 0.899], [0.296, 0.474, 0.399], [0.026, 0.204, 0.101], [0.831, 0.296, 0.399], [0.669, 0.026, 0.101], [0.956, 0.544, 0.250], [0.250, 0.956, 0.250], [0.544, 0.250, 0.250], [0.146, 0.146, 0.561], [0.646, 0.646, 0.061], [0.044, 0.456, 0.750], [0.354, 0.354, 0.939], [0.750, 0.044, 0.750], [0.854, 0.854, 0.439], [0.456, 0.750, 0.750]], "dos_ef_per_ev_atom": 0.390, "volume_a3_per_atom": 13.30, "magnetic_moment_mub_per_fu": 0.0, "space_group": "R-3c (167)", "e_form_raw_mev_per_atom": -167}


{"formula": "AgI2O2", "functional": "PBEsol", "state": "relaxed", "lattice": [[-0.719, -3.811, 0.163], [5.382, -1.053, -0.889], [0.917, 0.061, 5.479]], "species": ["I", "I", "O", "O", "Ag"], "frac_coords": [[0.000, 0.000, 0.500], [0.000, 0.500, 0.000], [0.500, 0.500, 0.500], [0.500, 0.000, 0.000], [0.000, 0.000, 0.000]], "dos_ef_per_ev_atom": 1.126, "volume_a3_per_atom": 23.96, "magnetic_moment_mub_per_fu": 3.5, "space_group": "P4/mmm (123)", "e_form_raw_mev_per_atom": 835}


{"formula": "AgI3O8", "functional": "PBEsol", "state": "relaxed", "lattice": [[7.992, 0.000, 0.000], [0.000, 7.992, 0.000], [-3.996, -3.996, 11.527]], "species": ["Ag", "Ag", "Ag", "Ag", "I", "I", "I", "I", "I", "I", "I", "I", "I", "I", "I", "I", "O", "O", "O", "O", "O", "O", "O", "O", "O", "O", "O", "O", "O", "O", "O", "O", "O", "O", "O", "O", "O", "O", "O", "O", "O", "O", "O", "O", "O", "O", "O", "O"], "frac_coords": [[0.885, 0.385, 0.770], [0.615, 0.115, 0.230], [0.370, 0.370, 0.739], [0.630, 0.630, 0.261], [0.027, 0.501, 0.556], [0.528, 0.055, 0.556], [0.945, 0.973, 0.444], [0.499, 0.472, 0.444], [0.846, 0.846, 0.693], [0.154, 0.154, 0.307], [0.745, 0.720, 0.949], [0.204, 0.229, 0.949], [0.771, 0.255, 0.051], [0.280, 0.796, 0.051], [0.401, 0.901, 0.802], [0.099, 0.599, 0.198], [0.254, 0.586, 0.653], [0.399, 0.066, 0.653], [0.934, 0.746, 0.347], [0.414, 0.601, 0.347], [0.025, 0.291, 0.583], [0.558, 0.292, 0.583], [0.708, 0.975, 0.417], [0.709, 0.442, 0.417], [0.915, 0.593, 0.676], [0.761, 0.083, 0.676], [0.917, 0.085, 0.324], [0.407, 0.239, 0.324], [0.623, 0.755, 0.588], [0.965, 0.833, 0.588], [0.167, 0.377, 0.412], [0.245, 0.035, 0.412], [0.663, 0.492, 0.857], [0.194, 0.365, 0.857], [0.635, 0.337, 0.143], [0.508, 0.806, 0.143], [0.955, 0.724, 0.923], [0.968, 0.199, 0.923], [0.801, 0.045, 0.077], [0.276, 0.032, 0.077], [0.650, 0.824, 0.822], [0.172, 0.998, 0.822], [0.002, 0.350, 0.178], [0.176, 0.828, 0.178], [0.501, 0.125, 0.905], [0.405, 0.780, 0.905], [0.220, 0.499, 0.095], [0.875, 0.595, 0.095]], "dos_ef_per_ev_atom": 0.000, "volume_a3_per_atom": 15.34, "magnetic_moment_mub_per_fu": 0.0, "space_group": "I-4 (82)", "e_form_raw_mev_per_atom": -305}


{"formula": "Ag4PIO4", "functional": "PBEsol", "state": "relaxed", "lattice": [[-2.262, 5.057, -3.905], [0.366, -5.490, -7.323], [-9.791, -0.775, 4.669]], "species": ["Ag", "Ag", "Ag", "Ag", "Ag", "Ag", "Ag", "Ag", "Ag", "Ag", "Ag", "Ag", "Ag", "Ag", "Ag", "Ag", "P", "P", "P", "P", "I", "I", "I", "I", "O", "O", "O", "O", "O", "O", "O", "O", "O", "O", "O", "O", "O", "O", "O", "O"], "frac_coords": [[0.960, 0.644, 0.925], [0.458, 0.010, 0.789], [0.250, 0.386, 0.309], [0.958, 0.990, 0.211], [0.460, 0.356, 0.075], [0.542, 0.990, 0.211], [0.750, 0.614, 0.691], [0.967, 0.718, 0.461], [0.540, 0.644, 0.925], [0.533, 0.718, 0.461], [0.040, 0.356, 0.075], [0.042, 0.010, 0.789], [0.750, 0.690, 0.221], [0.033, 0.282, 0.539], [0.250, 0.310, 0.779], [0.467, 0.282, 0.539], [0.750, 0.362, 0.325], [0.250, 0.638, 0.675], [0.750, 0.304, 0.796], [0.250, 0.696, 0.204], [0.250, 0.038, 0.568], [0.750, 0.905, 0.964], [0.250, 0.095, 0.036], [0.750, 0.962, 0.432], [0.562, 0.379, 0.875], [0.750, 0.508, 0.450], [0.250, 0.658, 0.334], [0.750, 0.127, 0.770], [0.750, 0.342, 0.666], [0.060, 0.736, 0.675], [0.250, 0.873, 0.230], [0.438, 0.621, 0.125], [0.938, 0.379, 0.875], [0.250, 0.591, 0.801], [0.750, 0.409, 0.199], [0.062, 0.621, 0.125], [0.560, 0.264, 0.325], [0.250, 0.492, 0.550], [0.440, 0.736, 0.675], [0.940, 0.264, 0.325]], "volume_a3_per_atom": 15.89, "magnetic_moment_mub_per_fu": 0.0, "space_group": "P2_1/m (11)", "e_form_raw_mev_per_atom": -886}


{"formula": "AgSeI2O", "functional": "PBEsol", "state": "relaxed", "lattice": [[-1.713, 2.751, -1.938], [-1.084, -3.673, -4.257], [-4.987, -1.374, 2.456]], "species": ["I", "I", "O", "Se", "Ag"], "frac_coords": [[0.000, 0.000, 0.500], [0.000, 0.500, 0.000], [0.500, 0.000, 0.000], [0.000, 0.000, 0.000], [0.500, 0.500, 0.500]], "dos_ef_per_ev_atom": 0.319, "volume_a3_per_atom": 24.76, "magnetic_moment_mub_per_fu": 0.0, "space_group": "P4/mmm (123)", "e_form_raw_mev_per_atom": 99}


{"formula": "Ag4SeI2O4", "functional": "PBEsol", "state": "relaxed", "lattice": [[-5.168, 2.583, -4.226], [-5.441, 1.110, 7.333], [4.591, 11.830, 1.616]], "species": ["Ag", "Ag", "Ag", "Ag", "Ag", "Ag", "Ag", "Ag", "Ag", "Ag", "Ag", "Ag", "Ag", "Ag", "Ag", "Ag", "Se", "Se", "Se", "Se", "I", "I", "I", "I", "I", "I", "I", "I", "O", "O", "O", "O", "O", "O", "O", "O", "O", "O", "O", "O", "O", "O", "O", "O"], "frac_coords": [[0.782, 0.134, 0.411], [0.043, 0.033, 0.025], [0.434, 0.773, 0.805], [0.543, 0.467, 0.525], [0.934, 0.727, 0.305], [0.434, 0.273, 0.695], [0.782, 0.634, 0.089], [0.934, 0.227, 0.195], [0.282, 0.866, 0.589], [0.872, 0.035, 0.766], [0.043, 0.533, 0.475], [0.543, 0.967, 0.975], [0.872, 0.535, 0.734], [0.372, 0.465, 0.266], [0.372, 0.965, 0.234], [0.282, 0.366, 0.911], [0.779, 0.319, 0.935], [0.279, 0.181, 0.435], [0.279, 0.681, 0.065], [0.779, 0.819, 0.565], [0.269, 0.552, 0.683], [0.803, 0.259, 0.616], [0.769, 0.948, 0.183], [0.769, 0.448, 0.317], [0.303, 0.741, 0.384], [0.303, 0.241, 0.116], [0.803, 0.759, 0.884], [0.269, 0.052, 0.817], [0.283, 0.867, 0.069], [0.470, 0.121, 0.371], [0.970, 0.379, 0.871], [0.970, 0.879, 0.629], [0.777, 0.371, 0.060], [0.783, 0.633, 0.569], [0.777, 0.871, 0.440], [0.783, 0.133, 0.931], [0.595, 0.381, 0.868], [0.283, 0.367, 0.431], [0.595, 0.881, 0.632], [0.095, 0.619, 0.132], [0.277, 0.129, 0.560], [0.277, 0.629, 0.940], [0.470, 0.621, 0.129], [0.095, 0.119, 0.368]], "volume_a3_per_atom": 19.14, "magnetic_moment_mub_per_fu": 0.0, "space_group": "Pna2_1 (33)", "e_form_raw_mev_per_atom": -320}


{"formula": "AgSnI2O", "functional": "PBEsol", "state": "relaxed", "lattice": [[3.975, 0.000, 0.000], [0.000, 5.920, 0.000], [0.000, 0.000, 5.920]], "species": ["I", "I", "O", "Sn", "Ag"], "frac_coords": [[0.000, 0.000, 0.500], [0.000, 0.500, 0.000], [0.500, 0.000, 0.000], [0.000, 0.000, 0.000], [0.500, 0.500, 0.500]], "dos_ef_per_ev_atom": 0.215, "volume_a3_per_atom": 27.86, "magnetic_moment_mub_per_fu": 0.0, "space_group": "P4/mmm (123)", "e_form_raw_mev_per_atom": -179}


{"formula": "AgTe2IO", "functional": "PBEsol", "state": "relaxed", "lattice": [[-0.998, 1.786, 3.868], [-3.490, -2.622, 0.310], [3.968, -4.893, 3.284]], "species": ["I", "Te", "Te", "O", "Ag"], "frac_coords": [[0.000, 0.000, 0.500], [0.000, 0.500, 0.000], [0.500, 0.000, 0.000], [0.000, 0.000, 0.000], [0.500, 0.500, 0.500]], "dos_ef_per_ev_atom": 0.588, "volume_a3_per_atom": 27.20, "magnetic_moment_mub_per_fu": 0.0, "space_group": "P4/mmm (123)", "e_form_raw_mev_per_atom": 162}


{"formula": "AgWIO2", "functional": "PBEsol", "state": "relaxed", "lattice": [[-3.430, 1.737, -0.510], [-1.766, -3.451, 0.125], [-0.615, 0.530, 5.935]], "species": ["I", "O", "O", "Ag", "W"], "frac_coords": [[0.000, 0.000, 0.500], [0.000, 0.500, 0.000], [0.500, 0.000, 0.000], [0.500, 0.500, 0.500], [0.000, 0.000, 0.000]], "dos_ef_per_ev_atom": 0.488, "volume_a3_per_atom": 18.02, "magnetic_moment_mub_per_fu": 0.0, "space_group": "P4/mmm (123)", "e_form_raw_mev_per_atom": -790}


{"formula": "YAgI4O12", "functional": "PBEsol", "state": "relaxed", "lattice": [[-2.740, -3.098, 3.599], [10.233, -6.656, 2.062], [5.225, 11.428, 9.639]], "species": ["Y", "Y", "Y", "Y", "Ag", "Ag", "Ag", "Ag", "I", "I", "I", "I", "I", "I", "I", "I", "I", "I", "I", "I", "I", "I", "I", "I", "O", "O", "O", "O", "O", "O", "O", "O", "O", "O", "O", "O", "O", "O", "O", "O", "O", "O", "O", "O", "O", "O", "O", "O", "O", "O", "O", "O", "O", "O", "O", "O", "O", "O", "O", "O", "O", "O", "O", "O", "O", "O", "O", "O", "O", "O", "O", "O"], "frac_coords": [[0.812, 0.170, 0.036], [0.224, 0.670, 0.036], [0.415, 0.175, 0.444], [0.029, 0.675, 0.444], [0.843, 0.290, 0.266], [0.423, 0.790, 0.266], [0.816, 0.874, 0.123], [0.306, 0.374, 0.123], [0.193, 0.259, 0.878], [0.685, 0.759, 0.878], [0.711, 0.030, 0.802], [0.091, 0.530, 0.802], [0.305, 0.964, 0.992], [0.687, 0.464, 0.992], [0.360, 0.124, 0.206], [0.846, 0.624, 0.206], [0.957, 0.968, 0.326], [0.369, 0.468, 0.326], [0.048, 0.076, 0.603], [0.554, 0.576, 0.603], [0.527, 0.306, 0.677], [0.150, 0.806, 0.677], [0.947, 0.384, 0.485], [0.538, 0.884, 0.485], [0.044, 0.292, 0.971], [0.927, 0.792, 0.971], [0.383, 0.383, 0.884], [0.501, 0.883, 0.884], [0.433, 0.167, 0.932], [0.499, 0.667, 0.932], [0.899, 0.091, 0.900], [0.000, 0.591, 0.900], [0.844, 0.114, 0.726], [0.883, 0.614, 0.726], [0.895, 0.908, 0.797], [0.902, 0.408, 0.797], [0.143, 0.044, 0.066], [0.923, 0.544, 0.066], [0.622, 0.008, 0.036], [0.414, 0.508, 0.036], [0.366, 0.843, 0.057], [0.691, 0.343, 0.057], [0.106, 0.218, 0.160], [0.054, 0.718, 0.160], [0.589, 0.184, 0.149], [0.559, 0.684, 0.149], [0.488, 0.205, 0.304], [0.816, 0.705, 0.304], [0.072, 0.109, 0.334], [0.262, 0.609, 0.334], [0.668, 0.980, 0.249], [0.581, 0.480, 0.249], [0.129, 0.922, 0.243], [0.114, 0.422, 0.243], [0.209, 0.044, 0.511], [0.302, 0.544, 0.511], [0.865, 0.950, 0.594], [0.729, 0.450, 0.594], [0.810, 0.166, 0.547], [0.737, 0.666, 0.547], [0.340, 0.250, 0.577], [0.238, 0.750, 0.577], [0.389, 0.220, 0.750], [0.361, 0.720, 0.750], [0.345, 0.429, 0.685], [0.340, 0.929, 0.685], [0.125, 0.315, 0.410], [0.285, 0.815, 0.410], [0.652, 0.322, 0.440], [0.787, 0.822, 0.440], [0.864, 0.506, 0.421], [0.556, 0.006, 0.421]], "dos_ef_per_ev_atom": 0.000, "volume_a3_per_atom": 14.70, "magnetic_moment_mub_per_fu": 0.0, "space_group": "Cc (9)", "e_form_raw_mev_per_atom": -836}